Entry 1:
First-principles (PBE) data for crystalline TlCoPtBr2 at its relaxed geometry, as listed in Alexandria via LeMat-Bulk. Values from VASP.

Summary:
symmetry = P4/mmm, No. 123
raw formation energy = 0.30 eV/atom
N(E_F) = 5.00 states/eV/f.u.
DFT total energy = -3.474 eV/atom

Cell and atoms, written as Quantum ESPRESSO input:
```
&SYSTEM
  ibrav = 0, nat = 5, ntyp = 4
/
ATOMIC_SPECIES
Tl 204.38 Tl.upf
Co 58.93 Co.upf
Pt 195.08 Pt.upf
Br 79.90 Br.upf
CELL_PARAMETERS angstrom
5.329 0.000 0.000
0.000 5.329 0.000
0.000 0.000 4.807
ATOMIC_POSITIONS angstrom
Tl 0.000 0.000 0.000
Co 2.664 2.664 0.000
Pt 2.664 2.664 2.404
Br 0.000 2.664 2.404
Br 2.664 0.000 2.404
```

---

Entry 2:
First-principles (PBE) data for crystalline MnSb2Pb2 at its relaxed geometry, as listed in Alexandria via LeMat-Bulk. Values from VASP.

Summary:
symmetry = P4/mbm, No. 127
raw formation energy = 0.30 eV/atom
N(E_F) = 5.58 states/eV/f.u.
DFT total energy = -4.670 eV/atom

Cell and atoms, written as Quantum ESPRESSO input:
```
&SYSTEM
  ibrav = 0, nat = 10, ntyp = 3
/
ATOMIC_SPECIES
Mn 54.94 Mn.upf
Sb 121.76 Sb.upf
Pb 207.20 Pb.upf
CELL_PARAMETERS angstrom
6.773 0.000 0.000
0.000 6.773 0.000
0.000 0.000 5.669
ATOMIC_POSITIONS angstrom
Mn 0.000 0.000 0.000
Mn 3.387 3.387 0.000
Sb 1.056 2.330 0.000
Sb 2.330 5.717 0.000
Sb 4.443 1.056 0.000
Sb 5.717 4.443 0.000
Pb 1.218 4.604 2.835
Pb 2.169 1.218 2.835
Pb 4.604 5.555 2.835
Pb 5.555 2.169 2.835
```

---

Which of these has the highest DFT total energy? TlCoPtBr2